Entry from Alexandria: an optimized crystal structure of TmGa3Ru2 (PBE).

Properties
**Energy above the most stable polymorph in this dataset**: 0.037 eV/atom
**SG**: No. 193
**Formation energy from the elements**: -0.432 eV/atom
**Total moment**: 2.0 μB/cell

Lattice parameters (Å, degrees): 5.353 5.353 8.295 90.00 90.00 120.00
Site moments in Bohr magnetons follow the coordinates.
Fractional coordinates of all 12 atoms:
Ga: 0.497 0.000 0.750  0.00
Ga: 0.503 0.000 0.250  0.00
Ga: 0.000 0.503 0.250  0.00
Ru: 0.333 0.667 0.000  0.35
Ga: 0.503 0.503 0.750  0.00
Ru: 0.333 0.667 0.500  0.35
Ga: 0.497 0.497 0.250  0.00
Ga: 0.000 0.497 0.750  0.00
Ru: 0.667 0.333 0.000  0.35
Tm: 0.000 0.000 0.000  0.14
Tm: 0.000 0.000 0.500  0.14
Ru: 0.667 0.333 0.500  0.35